! SnWF5 GGA+U relaxed; values from VASP
&SYSTEM
  ibrav = 0, nat = 14, ntyp = 3
/
ATOMIC_SPECIES
Sn 118.71 Sn.upf
W 183.84 W.upf
F 19.00 F.upf
CELL_PARAMETERS angstrom
4.5497 -3.6533 0.0000
4.5497 3.6533 0.0000
-2.8760 0.0000 7.6979
ATOMIC_POSITIONS crystal
Sn 0.0043 0.9957 0.7500
Sn 0.9957 0.0043 0.2500
W 0.5000 0.5000 0.0000
W 0.5000 0.5000 0.5000
F 0.1815 0.7409 0.9191
F 0.2040 0.3120 0.4121
F 0.2591 0.8185 0.5809
F 0.3120 0.2040 0.9121
F 0.4218 0.5782 0.2500
F 0.5782 0.4218 0.7500
F 0.6880 0.7960 0.0879
F 0.7409 0.1815 0.4191
F 0.7960 0.6880 0.5879
F 0.8185 0.2591 0.0809
! - crystal system = monoclinic
! - SG = No. 15
! - final energy (eV/cell) = -75.35